DFT (PBE) results for crystalline Y3Ru at its relaxed geometry.

The total energy comes out at -7.17 eV/atom. The energy of formation is 0 meV/atom. Its total magnetization is 0.00 μB/cell.

Lattice parameters (Å, degrees): 7.0046 7.0046 4.7531 90.00 90.00 120.00
Last column: nearest neighbours and their distance in Å.
Atoms (fractional coordinates):
Y 0.1812 0.3623 0.2500  2 Ru 3.01, 6 Y 3.20-3.24
Y 0.1812 0.8188 0.2500  2 Ru 3.01, 6 Y 3.20-3.24
Y 0.3623 0.1812 0.7500  2 Ru 3.01, 6 Y 3.20-3.24
Y 0.6377 0.8188 0.2500  2 Ru 3.01, 6 Y 3.20-3.24
Y 0.8188 0.1812 0.7500  2 Ru 3.01, 6 Y 3.20-3.24
Y 0.8188 0.6377 0.7500  2 Ru 3.01, 6 Y 3.20-3.24
Ru 0.3333 0.6667 0.7500  6 Y 3.01
Ru 0.6667 0.3333 0.2500  6 Y 3.01

DFT (PBE) results for crystalline YRu2 at its relaxed geometry.

The total energy comes out at -8.08 eV/atom. The energy of formation is 254 meV/atom. Its total magnetization is 0.00 μB/cell.

Lattice parameters (Å, degrees): 9.4301 9.4301 4.2956 90.00 90.00 162.21
Last column: nearest neighbours and their distance in Å.
Atoms (fractional coordinates):
Y 0.1814 0.8186 0.7500  4 Ru 2.87-3.00, 2 Y 2.92
Y 0.8186 0.1814 0.2500  4 Ru 2.87-3.00, 2 Y 2.92
Ru 0.0789 0.9211 0.2500  8 Ru 2.66-2.92, 2 Y 2.87
Ru 0.4595 0.5405 0.2500  10 Ru 2.63-2.92
Ru 0.5405 0.4595 0.7500  10 Ru 2.63-2.92
Ru 0.9211 0.0789 0.7500  8 Ru 2.66-2.92, 2 Y 2.87

DFT (PBE) results for crystalline Y2Ru3 at its relaxed geometry.

The total energy comes out at -8.37 eV/atom. The energy of formation is -220 meV/atom. Its total magnetization is 0.00 μB/cell.

Lattice parameters (Å, degrees): 8.1663 5.5820 9.0959 62.30 37.24 80.46
Last column: nearest neighbours and their distance in Å.
Atoms (fractional coordinates):
Y 0.1192 0.8808 0.2850  6 Ru 2.90-3.16
Y 0.5350 0.9650 0.3692  6 Ru 2.90-3.16
Y 0.8808 0.1192 0.7150  6 Ru 2.90-3.16
Y 0.9650 0.5350 0.1308  6 Ru 2.90-3.16
Ru 0.2535 0.2535 0.7465  4 Ru 2.47-2.48
Ru 0.4420 0.5251 0.3039  2 Ru 2.47-2.48
Ru 0.5035 0.5035 0.9965  4 Ru 2.47-2.48
Ru 0.5210 0.9461 0.7249  2 Ru 2.47-2.48
Ru 0.5251 0.4420 0.7290  2 Ru 2.47-2.48
Ru 0.9461 0.5210 0.8080  2 Ru 2.47-2.48

DFT (PBE) results for crystalline Y3Ru at its relaxed geometry.

The total energy comes out at -7.17 eV/atom. The energy of formation is -3 meV/atom. Its total magnetization is 0.57 μB/cell.

Lattice parameters (Å, degrees): 3.6589 3.6589 9.5979 90.00 90.00 120.00
Last column: nearest neighbours and their distance in Å.
Atoms (fractional coordinates):
Y 0.0000 0.0000 0.0000  12 Y 3.63-3.66
Y 0.3333 0.6667 0.3079  3 Ru 2.80
Y 0.3333 0.6667 0.6921  3 Ru 2.80
Ru 0.0000 0.0000 0.5000  6 Y 2.80

DFT (PBE) results for crystalline Y5Ru at its relaxed geometry.

The total energy comes out at -6.94 eV/atom. The value obtained for the distance to the lowest polymorph of the same formula is 119 meV per atom. The energy of formation is -7 meV/atom. Its total magnetization is 0.00 μB/cell.

Lattice parameters (Å, degrees): 8.4082 8.4082 5.4869 90.00 90.00 153.54
Last column: nearest neighbours and their distance in Å.
Atoms (fractional coordinates):
Y 0.0000 0.0000 0.0000  4 Ru 3.35, 8 Y 3.35-3.42
Y 0.1251 0.8749 0.5000  2 Ru 2.81
Y 0.3324 0.6676 0.0000  8 Y 3.31-3.42
Y 0.6676 0.3324 0.0000  8 Y 3.31-3.42
Y 0.8749 0.1251 0.5000  2 Ru 2.81
Ru 0.5000 0.5000 0.5000  4 Y 2.81

DFT (PBE) results for crystalline Y3Ru at its relaxed geometry.

The total energy comes out at -7.06 eV/atom. The energy of formation is 106 meV/atom. Its total magnetization is 0.00 μB/cell.

Lattice parameters (Å, degrees): 5.1751 5.1751 5.1751 60.00 60.00 60.00
Last column: nearest neighbours and their distance in Å.
Atoms (fractional coordinates):
Y 0.0000 0.0000 0.0000  8 Y 3.17
Y 0.2500 0.2500 0.2500  4 Ru 3.17, 4 Y 3.17
Y 0.7500 0.7500 0.7500  4 Ru 3.17, 4 Y 3.17
Ru 0.5000 0.5000 0.5000  8 Y 3.17

DFT (PBE) results for crystalline Y5Ru2 at its relaxed geometry.

The total energy comes out at -7.60 eV/atom. The energy of formation is -335 meV/atom. Its total magnetization is 0.00 μB/cell.

Lattice parameters (Å, degrees): 8.5206 8.5206 7.3217 96.80 96.80 43.99
Last column: nearest neighbours and their distance in Å.
Atoms (fractional coordinates):
Y 0.0795 0.9205 0.7500  4 Ru 2.91-2.96
Y 0.1404 0.2935 0.3154  3 Ru 2.84-3.04
Y 0.2935 0.1404 0.8154  3 Ru 2.84-3.04
Y 0.2943 0.5199 0.0856  2 Ru 2.75-2.81
Y 0.4801 0.7057 0.4144  2 Ru 2.75-2.81
Y 0.5199 0.2943 0.5856  2 Ru 2.75-2.81
Y 0.7057 0.4801 0.9144  2 Ru 2.75-2.81
Y 0.7065 0.8596 0.1846  3 Ru 2.84-3.04
Y 0.8596 0.7065 0.6846  3 Ru 2.84-3.04
Y 0.9205 0.0795 0.2500  4 Ru 2.91-2.96
Ru 0.1028 0.6755 0.4228  7 Y 2.75-3.04
Ru 0.3245 0.8972 0.0772  7 Y 2.75-3.04
Ru 0.6755 0.1028 0.9228  7 Y 2.75-3.04
Ru 0.8972 0.3245 0.5772  7 Y 2.75-3.04

DFT (PBE) results for crystalline Y3Ru at its relaxed geometry.

The total energy comes out at -7.29 eV/atom. The energy of formation is -124 meV/atom. Its total magnetization is 0.00 μB/cell.

Lattice parameters (Å, degrees): 3.7310 6.6357 9.1212 90.00 90.00 90.00
Last column: nearest neighbours and their distance in Å.
Atoms (fractional coordinates):
Y 0.2500 0.0055 0.1693  2 Ru 2.80
Y 0.2500 0.2500 0.5393  2 Ru 2.77
Y 0.2500 0.4945 0.1693  2 Ru 2.80
Y 0.7500 0.5055 0.8307  2 Ru 2.80
Y 0.7500 0.7500 0.4607  2 Ru 2.77
Y 0.7500 0.9945 0.8307  2 Ru 2.80
Ru 0.2500 0.7500 0.6857  6 Y 2.77-2.80
Ru 0.7500 0.2500 0.3143  6 Y 2.77-2.80

DFT (PBE) results for crystalline YRu2 at its relaxed geometry.

The total energy comes out at -8.30 eV/atom. The energy of formation is 36 meV/atom. Its total magnetization is 0.00 μB/cell.

Lattice parameters (Å, degrees): 5.8810 5.8810 5.8810 128.98 128.98 75.05
Last column: nearest neighbours and their distance in Å.
Atoms (fractional coordinates):
Y 0.2500 0.2500 0.0000  8 Ru 2.99
Y 0.7500 0.7500 0.0000  8 Ru 2.99
Ru 0.1749 0.6749 0.8499  5 Ru 2.51-2.64
Ru 0.3251 0.1749 0.5000  5 Ru 2.51-2.64
Ru 0.6749 0.8251 0.5000  5 Ru 2.51-2.64
Ru 0.8251 0.3251 0.1501  5 Ru 2.51-2.64

DFT (PBE) results for crystalline Y5Ru at its relaxed geometry.

The total energy comes out at -6.04 eV/atom. The value obtained for the distance to the lowest polymorph of the same formula is 1022 meV per atom. The energy of formation is 896 meV/atom. Its total magnetization is 0.00 μB/cell.

Lattice parameters (Å, degrees): 5.9404 5.9404 5.9760 90.00 90.00 120.00
Last column: nearest neighbours and their distance in Å.
Atoms (fractional coordinates):
Y 0.0000 0.5000 0.0000  4 Y 2.97
Y 0.3333 0.6667 0.5000  3 Ru 3.43, 9 Y 3.43-3.45
Y 0.5000 0.0000 0.0000  4 Y 2.97
Y 0.5000 0.5000 0.0000  4 Y 2.97
Y 0.6667 0.3333 0.5000  3 Ru 3.43, 9 Y 3.43-3.45
Ru 0.0000 0.0000 0.5000  6 Y 3.43

DFT (PBE) results for crystalline Y3Ru at its relaxed geometry.

The total energy comes out at -7.47 eV/atom. The energy of formation is -306 meV/atom. Its total magnetization is 0.00 μB/cell.

Lattice parameters (Å, degrees): 7.3452 9.2022 6.3575 90.00 90.00 90.00
Last column: nearest neighbours and their distance in Å.
Atoms (fractional coordinates):
Y 0.0417 0.2500 0.1319  2 Ru 2.74-2.82
Y 0.1761 0.0642 0.6686  3 Ru 2.86-3.21
Y 0.1761 0.4358 0.6686  3 Ru 2.86-3.21
Y 0.3239 0.5642 0.1686  3 Ru 2.86-3.21
Y 0.3239 0.9358 0.1686  3 Ru 2.86-3.21
Y 0.4583 0.7500 0.6319  2 Ru 2.74-2.82
Y 0.5417 0.2500 0.3681  2 Ru 2.74-2.82
Y 0.6761 0.0642 0.8314  3 Ru 2.86-3.21
Y 0.6761 0.4358 0.8314  3 Ru 2.86-3.21
Y 0.8239 0.5642 0.3314  3 Ru 2.86-3.21
Y 0.8239 0.9358 0.3314  3 Ru 2.86-3.21
Y 0.9583 0.7500 0.8681  2 Ru 2.74-2.82
Ru 0.1152 0.7500 0.4625  6 Y 2.74-2.96
Ru 0.3848 0.2500 0.9625  6 Y 2.74-2.96
Ru 0.6152 0.7500 0.0375  6 Y 2.74-2.96
Ru 0.8848 0.2500 0.5375  6 Y 2.74-2.96

DFT (PBE) results for crystalline YRu2 at its relaxed geometry.

The total energy comes out at -7.12 eV/atom. The energy of formation is 1218 meV/atom. Its total magnetization is 5.61 μB/cell.

Lattice parameters (Å, degrees): 6.4003 6.4003 6.4003 90.00 90.00 90.00
Last column: nearest neighbours and their distance in Å.
Atoms (fractional coordinates):
Y 0.0000 0.0000 0.0000  6 Ru 2.69
Y 0.0000 0.5000 0.5000  6 Ru 2.69
Y 0.5000 0.0000 0.5000  6 Ru 2.69
Y 0.5000 0.5000 0.0000  6 Ru 2.69
Ru 0.1072 0.6072 0.8928  1 Ru 2.38
Ru 0.1072 0.8928 0.3928  1 Ru 2.38
Ru 0.3928 0.1072 0.8928  1 Ru 2.38
Ru 0.3928 0.3928 0.3928  1 Ru 2.38
Ru 0.6072 0.6072 0.6072  1 Ru 2.38
Ru 0.6072 0.8928 0.1072  1 Ru 2.38
Ru 0.8928 0.1072 0.6072  1 Ru 2.38
Ru 0.8928 0.3928 0.1072  1 Ru 2.38

DFT (PBE) results for crystalline YRu2 at its relaxed geometry.

The total energy comes out at -8.37 eV/atom. The energy of formation is -27 meV/atom. Its total magnetization is 0.00 μB/cell.

Lattice parameters (Å, degrees): 4.1595 4.1595 4.1725 90.00 90.00 120.00
Last column: nearest neighbours and their distance in Å.
Atoms (fractional coordinates):
Y 0.0000 0.0000 0.0000  12 Ru 3.18
Ru 0.3333 0.6667 0.5000  3 Ru 2.40
Ru 0.6667 0.3333 0.5000  3 Ru 2.40

DFT (PBE) results for crystalline YRu2 at its relaxed geometry.

The total energy comes out at -8.42 eV/atom. The energy of formation is -83 meV/atom. Its total magnetization is 0.00 μB/cell.

Lattice parameters (Å, degrees): 7.8180 7.8180 7.8180 149.35 149.35 43.90
Last column: nearest neighbours and their distance in Å.
Atoms (fractional coordinates):
Y 0.3750 0.6250 0.7500  12 Ru 3.16-3.19
Y 0.6250 0.3750 0.2500  12 Ru 3.16-3.19
Ru 0.0429 0.7929 0.2500  3 Ru 2.38-2.41
Ru 0.2071 0.9571 0.2500  3 Ru 2.38-2.41
Ru 0.7929 0.0429 0.7500  3 Ru 2.38-2.41
Ru 0.9571 0.2071 0.7500  3 Ru 2.38-2.41

DFT (PBE) results for crystalline YRu2 at its relaxed geometry.

The total energy comes out at -8.22 eV/atom. The energy of formation is 122 meV/atom. Its total magnetization is 0.00 μB/cell.

Lattice parameters (Å, degrees): 13.1865 13.1865 13.1865 162.05 162.05 25.48
Last column: nearest neighbours and their distance in Å.
Atoms (fractional coordinates):
Y 0.2979 0.5479 0.7500  8 Ru 2.85-2.91
Y 0.4521 0.7021 0.7500  8 Ru 2.85-2.91
Y 0.5479 0.2979 0.2500  8 Ru 2.85-2.91
Y 0.7021 0.4521 0.2500  8 Ru 2.85-2.91
Ru 0.0539 0.8039 0.2500  4 Ru 2.74-2.76, 4 Y 2.91
Ru 0.1244 0.3744 0.7500  8 Ru 2.74-2.91, 4 Y 2.85-2.87
Ru 0.1961 0.9461 0.2500  4 Ru 2.74-2.76, 4 Y 2.91
Ru 0.3744 0.1244 0.2500  8 Ru 2.74-2.91, 4 Y 2.85-2.87
Ru 0.6256 0.8756 0.7500  8 Ru 2.74-2.91, 4 Y 2.85-2.87
Ru 0.8039 0.0539 0.7500  4 Ru 2.74-2.76, 4 Y 2.91
Ru 0.8756 0.6256 0.2500  8 Ru 2.74-2.91, 4 Y 2.85-2.87
Ru 0.9461 0.1961 0.7500  4 Ru 2.74-2.76, 4 Y 2.91

DFT (PBE) results for crystalline YRu2 at its relaxed geometry.

The total energy comes out at -8.22 eV/atom. The energy of formation is 121 meV/atom. Its total magnetization is 0.00 μB/cell.

Lattice parameters (Å, degrees): 5.4009 5.4009 7.1681 91.88 91.88 32.30
Last column: nearest neighbours and their distance in Å.
Atoms (fractional coordinates):
Y 0.0000 0.0000 0.0000  8 Ru 2.86-3.09, 2 Y 3.00
Y 0.2371 0.2371 0.6692  5 Ru 2.74-3.01, 2 Y 3.00
Ru 0.2680 0.2680 0.1394  4 Ru 2.60-2.63
Ru 0.5006 0.5006 0.6555  3 Ru 2.63-2.69, 5 Y 2.74-2.89
Ru 0.6223 0.6223 0.3395  5 Ru 2.60-2.71
Ru 0.9067 0.9067 0.3702  6 Ru 2.63-2.71, 1 Y 2.86

DFT (PBE) results for crystalline YRu2 at its relaxed geometry.

The total energy comes out at -8.31 eV/atom. The energy of formation is 24 meV/atom. Its total magnetization is 0.00 μB/cell.

Lattice parameters (Å, degrees): 5.5741 5.5741 6.8692 103.99 103.99 31.59
Last column: nearest neighbours and their distance in Å.
Atoms (fractional coordinates):
Y 0.0077 0.0077 0.2705  7 Ru 2.83-3.07, 2 Y 3.03
Y 0.9923 0.9923 0.7295  7 Ru 2.83-3.07, 2 Y 3.03
Ru 0.2799 0.2799 0.3625  4 Ru 2.62-2.71, 1 Y 2.83
Ru 0.3358 0.3358 0.9582  4 Ru 2.56-2.71
Ru 0.6642 0.6642 0.0418  4 Ru 2.56-2.71
Ru 0.7201 0.7201 0.6375  4 Ru 2.62-2.71, 1 Y 2.83

DFT (PBE) results for crystalline YRu2 at its relaxed geometry.

The total energy comes out at -7.80 eV/atom. The energy of formation is 534 meV/atom. Its total magnetization is 3.40 μB/cell.

Lattice parameters (Å, degrees): 6.7216 6.7216 4.5111 90.00 90.00 120.00
Last column: nearest neighbours and their distance in Å.
Atoms (fractional coordinates):
Y 0.0000 0.0000 0.0000  6 Ru 2.73
Y 0.3333 0.6667 0.5000  9 Ru 2.66-2.98
Y 0.6667 0.3333 0.5000  9 Ru 2.66-2.98
Ru 0.0000 0.2283 0.5000  4 Ru 2.66-2.77, 4 Y 2.66-2.73
Ru 0.0000 0.4667 0.0000  2 Ru 2.77, 4 Y 2.98
Ru 0.2283 0.0000 0.5000  4 Ru 2.66-2.77, 4 Y 2.66-2.73
Ru 0.4667 0.0000 0.0000  2 Ru 2.77, 4 Y 2.98
Ru 0.5333 0.5333 0.0000  2 Ru 2.77, 4 Y 2.98
Ru 0.7717 0.7717 0.5000  4 Ru 2.66-2.77, 4 Y 2.66-2.73

DFT (PBE) results for crystalline YRu2 at its relaxed geometry.

The total energy comes out at -8.08 eV/atom. The energy of formation is 257 meV/atom. Its total magnetization is 2.08 μB/cell.

Lattice parameters (Å, degrees): 4.7085 4.7085 5.5836 90.00 90.00 120.00
Last column: nearest neighbours and their distance in Å.
Atoms (fractional coordinates):
Y 0.3333 0.6667 0.2500  5 Ru 2.72-2.79
Y 0.6667 0.3333 0.7500  5 Ru 2.72-2.79
Ru 0.0000 0.0000 0.0000  8 Ru 2.79-3.06, 6 Y 3.06
Ru 0.0000 0.0000 0.5000  8 Ru 2.79-3.06, 6 Y 3.06
Ru 0.3333 0.6667 0.7500  5 Y 2.72-2.79
Ru 0.6667 0.3333 0.2500  5 Y 2.72-2.79

DFT (PBE) results for crystalline Y3Ru at its relaxed geometry.

The total energy comes out at -7.17 eV/atom. The energy of formation is -5 meV/atom. Its total magnetization is 0.00 μB/cell.

Lattice parameters (Å, degrees): 3.6480 4.3983 6.6788 90.00 104.49 90.00
Last column: nearest neighbours and their distance in Å.
Atoms (fractional coordinates):
Y 0.0000 0.0000 0.0000  2 Ru 3.34, 10 Y 3.39-3.65
Y 0.3801 0.5000 0.7126  2 Ru 2.79
Y 0.6199 0.5000 0.2874  2 Ru 2.79
Ru 0.0000 0.0000 0.5000  4 Y 2.79